(1)
This record from the Alexandria database describes an optimized crystal structure of CsRe3H. The functional is PBE-GGA.

POSCAR file:
```
CsRe3H
1.0
4.208 0.000 0.000
0.000 4.208 0.000
0.000 0.000 4.208
Re H Cs
3 1 1
Cartesian
0.000 0.000 2.104
0.000 2.104 0.000
2.104 0.000 0.000
0.000 0.000 0.000
2.104 2.104 2.104
```

Theoretical density: 15.44 g/cm3
DOS(E_F): 5.92 states/eV/cell
V: 14.9 Å³/atom
Relative energy among the computed polymorphs: 0.0 meV per atom
Symmetry: Pm-3m, No. 221

(2)
This record from the Alexandria database describes an optimized crystal structure of CsRe2H. The functional is PBE-GGA.

POSCAR file:
```
CsRe2H
1.0
-1.048 -0.384 4.333
-3.186 -2.866 1.286
1.102 -3.708 2.248
Re Cs H
2 1 1
Cartesian
-2.349 -5.219 5.900
-0.783 -1.740 1.967
-1.566 -3.479 3.933
0.000 0.000 0.000
```

Theoretical density: 13.28 g/cm3
DOS(E_F): 3.93 states/eV/cell
V: 15.8 Å³/atom
Symmetry: Fm-3m, No. 225
Raw total energy: -4.28 eV per atom

(3)
This record from the Alexandria database describes an optimized crystal structure of CsReH3. The functional is PBE-GGA.

POSCAR file:
```
CsReH3
1.0
-3.637 -0.297 1.700
-1.332 -2.040 -3.205
1.098 -3.458 1.745
Cs Re H
1 1 3
Cartesian
-1.935 -2.898 0.120
0.000 0.000 0.000
-1.819 -0.148 0.850
-0.666 -1.020 -1.603
0.549 -1.729 0.872
```

Theoretical density: 8.20 g/cm3
DOS(E_F): 4.38 states/eV/cell
V: 13.1 Å³/atom
Symmetry: Pm-3m, No. 221
Raw total energy: -3.94 eV per atom

(4)
This record from the Alexandria database describes an optimized crystal structure of Cs2ReH2Se4. The functional is PBE-GGA.

POSCAR file:
```
Cs2ReH2Se4
1.0
-1.887 3.332 5.887
-1.035 -7.092 1.999
4.329 -5.389 2.754
Se H Cs Re
4 2 2 1
Cartesian
-0.356 -4.673 3.285
2.102 -3.893 3.631
-0.695 -5.255 7.008
1.762 -4.475 7.354
-0.381 -0.025 2.764
1.788 -9.123 7.875
1.685 -7.402 4.725
-0.278 -1.746 5.914
-0.944 1.666 2.943
```

Theoretical density: 4.76 g/cm3
DOS(E_F): 5.32 states/eV/cell
V: 29.8 Å³/atom
Symmetry: C2/m, No. 12
Raw total energy: -4.21 eV per atom

(5)
This record from the Alexandria database describes an optimized crystal structure of Cs2ReTe2H4. The functional is PBE-GGA.

POSCAR file:
```
Cs2ReTe2H4
1.0
6.905 -0.028 -0.044
-2.799 6.312 0.044
-2.799 -2.654 5.727
Cs H Te Re
2 4 2 1
Cartesian
0.653 -0.427 4.284
0.653 4.056 1.443
1.383 0.607 0.957
-2.799 -1.144 4.770
-0.076 3.023 4.770
-2.799 4.802 1.001
-3.971 2.594 4.093
-1.627 1.063 1.677
0.000 0.000 0.000
```

Theoretical density: 4.75 g/cm3
DOS(E_F): 3.29 states/eV/cell
V: 27.6 Å³/atom
Symmetry: I4/mmm, No. 139
Raw total energy: -3.75 eV per atom

(6)
This record from the Alexandria database describes an optimized crystal structure of CsZnRe2H. The functional is PBE-GGA.

POSCAR file:
```
CsZnRe2H
1.0
-0.952 1.122 3.618
-6.061 -0.256 -1.516
-0.124 -3.737 1.126
Re Cs Zn H
2 1 1 1
Cartesian
-0.476 0.561 1.809
-0.062 -1.869 0.563
-3.031 -0.128 -0.758
-3.568 -1.436 1.614
0.000 0.000 0.000
```

Theoretical density: 9.95 g/cm3
DOS(E_F): 6.07 states/eV/cell
V: 19.1 Å³/atom
Symmetry: P4/mmm, No. 123
Raw total energy: -4.47 eV per atom

(7)
This record from the Alexandria database describes an optimized crystal structure of CsH3Rh. The functional is PBE-GGA.

POSCAR file:
```
CsH3Rh
1.0
-0.808 -0.706 -5.174
5.544 -2.694 -0.466
-4.995 -3.412 1.277
H Rh Cs
6 2 2
Cartesian
-0.706 -4.272 -2.331
-4.480 -3.203 0.778
-0.803 -4.989 0.480
0.882 -3.839 0.059
1.161 -5.181 -2.499
4.470 -2.919 -3.356
0.179 -5.085 -1.010
-0.225 -5.438 -3.597
1.458 -2.089 -2.994
-1.648 -1.975 0.173
```

Theoretical density: 4.53 g/cm3
DOS(E_F): 4.55 states/eV/cell
V: 17.5 Å³/atom
Relative energy among the computed polymorphs: 0.0 meV per atom
Symmetry: Cc, No. 9

(8)
This record from the Alexandria database describes an optimized crystal structure of CsH2Rh. The functional is PBE-GGA.

POSCAR file:
```
CsH2Rh
1.0
5.772 0.000 0.000
0.000 5.772 0.000
2.886 2.886 4.096
H Rh Cs
4 2 2
Cartesian
4.329 5.762 3.072
2.896 1.443 1.024
2.876 4.329 1.024
7.215 5.782 3.072
2.886 5.772 2.048
2.886 2.886 0.000
0.000 0.000 0.000
5.772 2.886 2.048
```

Theoretical density: 5.79 g/cm3
DOS(E_F): 3.41 states/eV/cell
V: 17.1 Å³/atom
Relative energy among the computed polymorphs: 0.0 meV per atom
Symmetry: I-42d, No. 122